Here is K2BaPH after structural relaxation from Alexandria. Energies are from GGA-PBE.

Results
The uncorrected energy comes out at -2.96 eV/atom. Its space group is P4/mmm (123).

a = 4.9756 Å, b = 4.9756 Å, c = 5.6173 Å
α = 90.00°, β = 90.00°, γ = 90.00°
Fractional positions:
H1 0.0000 0.0000 0.0000
Ba1 0.0000 0.0000 0.5000
K1 0.0000 0.5000 0.0000
K2 0.5000 0.0000 0.0000
P1 0.5000 0.5000 0.5000